FeCoSnHg | PBE | relaxed

```
data_FeCoSnHg
_symmetry_space_group_name_H-M 'F -4 3 m'
_symmetry_Int_Tables_number 216
_symmetry_space_group_name_Hall 'F -4 2 3'
_cell_length_a 6.337
_cell_length_b 6.337
_cell_length_c 6.337
_cell_angle_alpha 90.00
_cell_angle_beta 90.00
_cell_angle_gamma 90.00
loop_
_atom_site_label
_atom_site_type_symbol
_atom_site_fract_x
_atom_site_fract_y
_atom_site_fract_z
Fe1 Fe 0.000 0.000 0.000
Co1 Co 0.000 0.000 0.500
Sn1 Sn 0.250 0.250 0.250
Hg1 Hg 0.250 0.250 0.750
```

Computed properties:
* relative energy among the computed polymorphs: 0 meV per atom



Ho2AsSe | PBE | relaxed

```
data_Ho2AsSe
_symmetry_space_group_name_H-M 'P m m n'
_symmetry_Int_Tables_number 59
_cell_length_a 4.075
_cell_length_b 5.747
_cell_length_c 8.171
_cell_angle_alpha 90.00
_cell_angle_beta 90.00
_cell_angle_gamma 90.00
loop_
_symmetry_equiv_pos_as_xyz
'x,y,z'
'-x,-y,-z'
'-x+1/2,-y+1/2,z'
'x+1/2,y+1/2,-z'
'x+1/2,-y,-z'
'-x+1/2,y,z'
'-x,y+1/2,-z'
'x,-y+1/2,z'
loop_
_atom_site_label
_atom_site_type_symbol
_atom_site_fract_x
_atom_site_fract_y
_atom_site_fract_z
Ho1 Ho 0.250 0.250 0.116
Ho2 Ho 0.250 0.250 0.637
As1 As 0.250 0.750 0.126
Se1 Se 0.250 0.750 0.622
```



Pr3As4 | PBE | relaxed

```
data_Pr3As4
_symmetry_space_group_name_H-M 'I -4 3 d'
_symmetry_Int_Tables_number 220
_symmetry_space_group_name_Hall 'I -4bd 2c 3'
_cell_length_a 8.951
_cell_length_b 8.951
_cell_length_c 8.951
_cell_angle_alpha 90.00
_cell_angle_beta 90.00
_cell_angle_gamma 90.00
loop_
_atom_site_label
_atom_site_type_symbol
_atom_site_fract_x
_atom_site_fract_y
_atom_site_fract_z
Pr1 Pr 0.000 0.250 0.375
As1 As 0.081 0.081 0.081
```



LiThCu | PBE | relaxed

```
data_LiThCu
_symmetry_space_group_name_H-M 'F -4 3 m'
_symmetry_Int_Tables_number 216
_symmetry_space_group_name_Hall 'F -4 2 3'
_cell_length_a 6.513
_cell_length_b 6.513
_cell_length_c 6.513
_cell_angle_alpha 90.00
_cell_angle_beta 90.00
_cell_angle_gamma 90.00
loop_
_atom_site_label
_atom_site_type_symbol
_atom_site_fract_x
_atom_site_fract_y
_atom_site_fract_z
Li1 Li 0.000 0.000 0.000
Th1 Th 0.000 0.000 0.500
Cu1 Cu 0.250 0.250 0.250
```

Computed properties:
* relative energy among the computed polymorphs: 0 meV per atom



AlFePtW | PBE | relaxed

```
data_AlFePtW
_symmetry_space_group_name_H-M 'F -4 3 m'
_symmetry_Int_Tables_number 216
_symmetry_space_group_name_Hall 'F -4 2 3'
_cell_length_a 6.142
_cell_length_b 6.142
_cell_length_c 6.142
_cell_angle_alpha 90.00
_cell_angle_beta 90.00
_cell_angle_gamma 90.00
loop_
_atom_site_label
_atom_site_type_symbol
_atom_site_fract_x
_atom_site_fract_y
_atom_site_fract_z
Al1 Al 0.000 0.000 0.000
Fe1 Fe 0.250 0.250 0.250
Pt1 Pt 0.250 0.250 0.750
W1 W 0.000 0.000 0.500
```

Computed properties:
* relative energy among the computed polymorphs: 0 meV per atom



MoI2 | PBE | relaxed

```
data_MoI2
_symmetry_space_group_name_H-M 'C m c e'
_symmetry_Int_Tables_number 64
_symmetry_space_group_name_Hall '-C 2ac 2'
_cell_length_a 16.371
_cell_length_b 12.778
_cell_length_c 12.772
_cell_angle_alpha 90.00
_cell_angle_beta 90.00
_cell_angle_gamma 90.00
loop_
_atom_site_label
_atom_site_type_symbol
_atom_site_fract_x
_atom_site_fract_y
_atom_site_fract_z
Mo1 Mo 0.000 0.066 0.134
Mo2 Mo 0.000 0.134 0.934
Mo3 Mo 0.116 0.000 0.000
I1 I 0.000 0.154 0.346
I2 I 0.120 0.070 0.792
I3 I 0.121 0.207 0.070
I4 I 0.210 0.000 0.500
```

Computed properties:
* relative energy among the computed polymorphs: 0 meV per atom



Ba2Lu3Cd3 | PBE | relaxed

```
data_Ba2Lu3Cd3
_symmetry_space_group_name_H-M 'R -3 m'
_symmetry_Int_Tables_number 166
_symmetry_space_group_name_Hall '-R 3 2"'
_cell_length_a 5.9930
_cell_length_b 5.9930
_cell_length_c 24.6131
_cell_angle_alpha 90.00
_cell_angle_beta 90.00
_cell_angle_gamma 120.00
loop_
_atom_site_label
_atom_site_type_symbol
_atom_site_fract_x
_atom_site_fract_y
_atom_site_fract_z
Ba1 Ba 0.0000 0.0000 0.2070
Lu1 Lu 0.0000 0.0000 0.0623
Lu2 Lu 0.0000 0.0000 0.5000
Cd1 Cd 0.0000 0.5000 0.0000
```



HoScCo2Te2 | PBE | relaxed

```
data_HoScCo2Te2
_symmetry_space_group_name_H-M 'P 1 m 1'
_symmetry_Int_Tables_number 6
_cell_length_a 8.725
_cell_length_b 4.353
_cell_length_c 13.067
_cell_angle_alpha 90.00
_cell_angle_beta 109.40
_cell_angle_gamma 90.00
loop_
_symmetry_equiv_pos_as_xyz
'x,y,z'
'x,-y,z'
loop_
_atom_site_label
_atom_site_type_symbol
_atom_site_fract_x
_atom_site_fract_y
_atom_site_fract_z
Ho1 Ho 0.000 0.000 0.000
Ho2 Ho 0.125 0.500 0.749
Ho3 Ho 0.622 0.500 0.747
Ho4 Ho 0.875 0.500 0.250
Sc1 Sc 0.249 0.000 0.499
Sc2 Sc 0.374 0.500 0.249
Sc3 Sc 0.498 0.000 0.999
Sc4 Sc 0.748 0.000 0.497
Co1 Co 0.072 0.500 0.129
Co2 Co 0.195 0.000 0.877
Co3 Co 0.309 0.500 0.618
Co4 Co 0.437 0.000 0.373
Co5 Co 0.556 0.500 0.123
Co6 Co 0.681 0.000 0.877
Co7 Co 0.808 0.500 0.617
Co8 Co 0.939 0.000 0.379
Te1 Te 0.132 0.000 0.253
Te2 Te 0.256 0.500 0.002
Te3 Te 0.373 0.000 0.747
Te4 Te 0.497 0.500 0.494
Te5 Te 0.618 0.000 0.249
Te6 Te 0.742 0.500 0.999
Te7 Te 0.872 0.000 0.745
Te8 Te 0.999 0.500 0.499
```



SmNpPt | PBE | relaxed

```
data_SmNpPt
_symmetry_space_group_name_H-M 'F -4 3 m'
_symmetry_Int_Tables_number 216
_symmetry_space_group_name_Hall 'F -4 2 3'
_cell_length_a 6.952
_cell_length_b 6.952
_cell_length_c 6.952
_cell_angle_alpha 90.00
_cell_angle_beta 90.00
_cell_angle_gamma 90.00
loop_
_atom_site_label
_atom_site_type_symbol
_atom_site_fract_x
_atom_site_fract_y
_atom_site_fract_z
Sm1 Sm 0.000 0.000 0.000
Np1 Np 0.000 0.000 0.500
Pt1 Pt 0.250 0.250 0.750
```

Computed properties:
* relative energy among the computed polymorphs: 0 meV per atom



CsSmSO | PBE | relaxed

```
data_CsSmSO
_symmetry_space_group_name_H-M 'P m c 21'
_symmetry_Int_Tables_number 26
_cell_length_a 4.525
_cell_length_b 8.671
_cell_length_c 6.913
_cell_angle_alpha 90.00
_cell_angle_beta 90.00
_cell_angle_gamma 90.00
loop_
_symmetry_equiv_pos_as_xyz
'x,y,z'
'-x,-y,z+1/2'
'-x,y,z'
'x,-y,z+1/2'
loop_
_atom_site_label
_atom_site_type_symbol
_atom_site_fract_x
_atom_site_fract_y
_atom_site_fract_z
Cs1 Cs 0.000 0.189 0.000
Sm1 Sm 0.500 0.377 0.442
S1 S 0.000 0.212 0.508
O1 O 0.500 0.423 0.132
```

Computed properties:
* relative energy among the computed polymorphs: 53 meV per atom



FeHgPdPb | PBE | relaxed

```
data_FeHgPdPb
_symmetry_space_group_name_H-M 'F -4 3 m'
_symmetry_Int_Tables_number 216
_symmetry_space_group_name_Hall 'F -4 2 3'
_cell_length_a 6.703
_cell_length_b 6.703
_cell_length_c 6.703
_cell_angle_alpha 90.00
_cell_angle_beta 90.00
_cell_angle_gamma 90.00
loop_
_atom_site_label
_atom_site_type_symbol
_atom_site_fract_x
_atom_site_fract_y
_atom_site_fract_z
Fe1 Fe 0.000 0.000 0.000
Hg1 Hg 0.250 0.250 0.250
Pd1 Pd 0.000 0.000 0.500
Pb1 Pb 0.250 0.250 0.750
```

Computed properties:
* relative energy among the computed polymorphs: 0 meV per atom



LuInFeAu | PBE | relaxed

```
data_LuInFeAu
_symmetry_space_group_name_H-M 'F -4 3 m'
_symmetry_Int_Tables_number 216
_symmetry_space_group_name_Hall 'F -4 2 3'
_cell_length_a 6.793
_cell_length_b 6.793
_cell_length_c 6.793
_cell_angle_alpha 90.00
_cell_angle_beta 90.00
_cell_angle_gamma 90.00
loop_
_atom_site_label
_atom_site_type_symbol
_atom_site_fract_x
_atom_site_fract_y
_atom_site_fract_z
Lu1 Lu 0.000 0.000 0.000
In1 In 0.250 0.250 0.250
Fe1 Fe 0.000 0.000 0.500
Au1 Au 0.250 0.250 0.750
```

Computed properties:
* relative energy among the computed polymorphs: 79 meV per atom



PmNdNi | PBE | relaxed

```
data_PmNdNi
_symmetry_space_group_name_H-M 'F -4 3 m'
_symmetry_Int_Tables_number 216
_symmetry_space_group_name_Hall 'F -4 2 3'
_cell_length_a 6.907
_cell_length_b 6.907
_cell_length_c 6.907
_cell_angle_alpha 90.00
_cell_angle_beta 90.00
_cell_angle_gamma 90.00
loop_
_atom_site_label
_atom_site_type_symbol
_atom_site_fract_x
_atom_site_fract_y
_atom_site_fract_z
Pm1 Pm 0.000 0.000 0.000
Nd1 Nd 0.000 0.000 0.500
Ni1 Ni 0.250 0.250 0.750
```



Ho4TlInC2 | PBE | relaxed

```
data_Ho4TlInC2
_symmetry_space_group_name_H-M 'P -6 m 2'
_symmetry_Int_Tables_number 187
_symmetry_space_group_name_Hall 'P -6 2'
_cell_length_a 3.5885
_cell_length_b 3.5885
_cell_length_c 16.2575
_cell_angle_alpha 90.00
_cell_angle_beta 90.00
_cell_angle_gamma 120.00
loop_
_atom_site_label
_atom_site_type_symbol
_atom_site_fract_x
_atom_site_fract_y
_atom_site_fract_z
Ho1 Ho 0.0000 0.0000 0.1673
Ho2 Ho 0.3333 0.6667 0.3326
Tl1 Tl 0.0000 0.0000 0.5000
In1 In 0.3333 0.6667 0.0000
C1 C 0.6667 0.3333 0.2502
```



Gd2HoAg4Ge4 | PBE | relaxed

```
data_Gd2HoAg4Ge4
_symmetry_space_group_name_H-M 'I m m m'
_symmetry_Int_Tables_number 71
_symmetry_space_group_name_Hall '-I 2 2'
_cell_length_a 4.372
_cell_length_b 7.111
_cell_length_c 14.578
_cell_angle_alpha 90.00
_cell_angle_beta 90.00
_cell_angle_gamma 90.00
loop_
_atom_site_label
_atom_site_type_symbol
_atom_site_fract_x
_atom_site_fract_y
_atom_site_fract_z
Gd1 Gd 0.000 0.000 0.126
Ho1 Ho 0.000 0.500 0.000
Ag1 Ag 0.000 0.198 0.331
Ge1 Ge 0.000 0.315 0.500
Ge2 Ge 0.000 0.500 0.216
```



RbZn | PBE | relaxed

```
data_RbZn
_symmetry_space_group_name_H-M 'P b c m'
_symmetry_Int_Tables_number 57
_cell_length_a 9.716
_cell_length_b 5.814
_cell_length_c 5.127
_cell_angle_alpha 90.00
_cell_angle_beta 90.00
_cell_angle_gamma 90.00
loop_
_symmetry_equiv_pos_as_xyz
'x,y,z'
'-x,-y,-z'
'-x,-y,z+1/2'
'x,y,-z+1/2'
'x,-y+1/2,-z'
'-x,y+1/2,z'
'-x,y+1/2,-z+1/2'
'x,-y+1/2,z+1/2'
loop_
_atom_site_label
_atom_site_type_symbol
_atom_site_fract_x
_atom_site_fract_y
_atom_site_fract_z
Rb1 Rb 0.201 0.015 0.250
Zn1 Zn 0.459 0.595 0.250
```



PrNiSnAsIr | PBE | relaxed

```
data_PrNiSnAsIr
_symmetry_space_group_name_H-M 'P 4/n m m'
_symmetry_Int_Tables_number 129
_cell_length_a 4.405
_cell_length_b 4.405
_cell_length_c 9.984
_cell_angle_alpha 90.00
_cell_angle_beta 90.00
_cell_angle_gamma 90.00
loop_
_symmetry_equiv_pos_as_xyz
'x,y,z'
'-x,-y,-z'
'-y+1/2,x,z'
'y+1/2,-x,-z'
'-x+1/2,-y+1/2,z'
'x+1/2,y+1/2,-z'
'y,-x+1/2,z'
'-y,x+1/2,-z'
'x+1/2,-y,-z'
'-x+1/2,y,z'
'-y,-x,-z'
'y,x,z'
'-x,y+1/2,-z'
'x,-y+1/2,z'
'y+1/2,x+1/2,-z'
'-y+1/2,-x+1/2,z'
loop_
_atom_site_label
_atom_site_type_symbol
_atom_site_fract_x
_atom_site_fract_y
_atom_site_fract_z
Pr1 Pr 0.250 0.250 0.236
Ni1 Ni 0.250 0.250 0.905
Sn1 Sn 0.250 0.250 0.649
As1 As 0.250 0.750 0.000
Ir1 Ir 0.250 0.750 0.500
```

Computed properties:
* relative energy among the computed polymorphs: 13 meV per atom



K2Ho2ErMg3Cd | PBE | relaxed

```
data_K2Ho2ErMg3Cd
_symmetry_space_group_name_H-M 'A m m 2'
_symmetry_Int_Tables_number 38
_cell_length_a 4.872
_cell_length_b 14.132
_cell_length_c 8.184
_cell_angle_alpha 90.00
_cell_angle_beta 90.00
_cell_angle_gamma 90.00
loop_
_symmetry_equiv_pos_as_xyz
'x,y,z'
'-x,-y,z'
'-x,y,z'
'x,-y,z'
'x,y+1/2,z+1/2'
'-x,-y+1/2,z+1/2'
'-x,y+1/2,z+1/2'
'x,-y+1/2,z+1/2'
loop_
_atom_site_label
_atom_site_type_symbol
_atom_site_fract_x
_atom_site_fract_y
_atom_site_fract_z
K1 K 0.000 0.166 0.000
Ho1 Ho 0.500 0.188 0.312
Er1 Er 0.500 0.000 0.876
Mg1 Mg 0.000 0.000 0.285
Mg2 Mg 0.000 0.108 0.609
Cd1 Cd 0.500 0.000 0.502
```



BiIrBr6 | PBE | relaxed

```
data_BiIrBr6
_symmetry_space_group_name_H-M 'C 1 2 1'
_symmetry_Int_Tables_number 5
_cell_length_a 7.028
_cell_length_b 12.159
_cell_length_c 6.931
_cell_angle_alpha 90.00
_cell_angle_beta 110.41
_cell_angle_gamma 90.00
loop_
_symmetry_equiv_pos_as_xyz
'x,y,z'
'-x,y,-z'
'x+1/2,y+1/2,z'
'-x+1/2,y+1/2,-z'
loop_
_atom_site_label
_atom_site_type_symbol
_atom_site_fract_x
_atom_site_fract_y
_atom_site_fract_z
Bi1 Bi 0.000 0.000 0.000
Ir1 Ir 0.000 0.333 0.000
Br1 Br 0.213 0.334 0.774
Br2 Br 0.220 0.188 0.232
Br3 Br 0.226 0.477 0.231
```



Co2SnSe3 | PBE | relaxed

```
data_Co2SnSe3
_symmetry_space_group_name_H-M 'C m c m'
_symmetry_Int_Tables_number 63
_symmetry_space_group_name_Hall '-C 2c 2'
_cell_length_a 3.482
_cell_length_b 12.975
_cell_length_c 9.874
_cell_angle_alpha 90.00
_cell_angle_beta 90.00
_cell_angle_gamma 90.00
loop_
_atom_site_label
_atom_site_type_symbol
_atom_site_fract_x
_atom_site_fract_y
_atom_site_fract_z
Co1 Co 0.000 0.000 0.000
Co2 Co 0.000 0.374 0.250
Sn1 Sn 0.000 0.276 0.750
Se1 Se 0.000 0.000 0.250
Se2 Se 0.000 0.377 0.011
```



no.,V (Å³ per atom),total energy (eV/atom)
1,15.9,-4.5566
2,23.9,-6.0125
3,25.6,-5.8140
4,23.0,-4.1161
5,14.5,-7.9118
6,37.1,-5.0175
7,31.9,-2.3383
8,19.5,-5.9932
9,28.0,-8.1415
10,33.9,-5.7998
11,18.8,-4.1345
12,19.6,-4.8438
13,27.5,-5.0758
14,22.7,-5.6267
15,20.6,-4.4969
16,36.2,-0.9263
17,19.4,-6.2550
18,31.3,-1.9384
19,34.7,-3.3446
20,18.6,-4.9980